Record 1
Re2SbI, relaxed, DFT PBE; total moment = 0.000 μB/f.u.; DFT total energy = -25.8 eV/cell; SG = Fm-3m, No. 225; energy above the lowest structure with this stoichiometry = 0.00 eV/f.u.
1.0
0.0000 3.3170 3.3170
3.3170 0.0000 3.3170
3.3170 3.3170 0.0000
Re Sb I
2 1 1
Cartesian
1.6585 1.6585 1.6585
4.9754 4.9754 4.9754
0.0000 0.0000 0.0000
3.3170 3.3170 3.3170



Record 2
ReSb2I, relaxed, DFT PBE; total moment = 1.818 μB/f.u.; DFT total energy = -17.6 eV/cell; SG = Fm-3m, No. 225
1.0
0.0000 3.6243 3.6243
3.6243 0.0000 3.6243
3.6243 3.6243 0.0000
Re Sb I
1 2 1
Cartesian
0.0000 0.0000 0.0000
1.8121 1.8121 1.8121
5.4364 5.4364 5.4364
3.6243 3.6243 3.6243